An optimized crystal structure of As3PdPt. Source: Alexandria via LeMat-Bulk, functional PBE-GGA.

## Properties
The value obtained for the offset from the most stable computed form is 0.00 eV/f.u. The volume is 23.285 Å³/atom. As for the energy of formation from the pure elements: 0.710 eV/atom. The value obtained for the total moment is 0.00 μB per cell.

Unit cell a=4.883 b=4.883 c=4.883 alpha=90.00 beta=90.00 gamma=90.00
Space group Pm-3m (No. 221)
Inequivalent atoms, fractional coordinates:
As (0.000, 0.000, 0.500) (multiplicity 3)
Pd (0.500, 0.500, 0.500) (multiplicity 1)
Pt (0.000, 0.000, 0.000) (multiplicity 1)



An optimized crystal structure of PrCd2Ag2. Source: Alexandria via LeMat-Bulk, functional PBE-GGA.

## Properties
The value obtained for the offset from the most stable computed form is 0.00 eV/f.u. The volume is 22.991 Å³/atom. As for the energy of formation from the pure elements: -0.226 eV/atom. The value obtained for the total moment is 0.00 μB per cell.

Unit cell a=5.127 b=5.145 c=5.484 alpha=69.32 beta=89.52 gamma=60.21
Space group P-1 (No. 2)
Inequivalent atoms, fractional coordinates:
Pr (0.000, 0.000, 0.000) (multiplicity 1)
Cd (0.249, 0.505, 0.662) (multiplicity 2)
Ag (0.385, 0.224, 0.240) (multiplicity 2)



An optimized crystal structure of ScCrPb2. Source: Alexandria via LeMat-Bulk, functional PBE-GGA.

## Properties
The value obtained for the offset from the most stable computed form is 0.29 eV/f.u. The volume is 23.542 Å³/atom. As for the energy of formation from the pure elements: 0.175 eV/atom. The value obtained for the total moment is 4.50 μB per cell.

Unit cell a=3.347 b=4.189 c=6.716 alpha=90.00 beta=90.00 gamma=90.00
Space group Pmmm (No. 47)
Inequivalent atoms, fractional coordinates:
Sc (0.000, 0.000, 0.000) (multiplicity 1)
Cr (0.000, 0.000, 0.500) (multiplicity 1)
Pb (0.500, 0.500, 0.257) (multiplicity 2)



An optimized crystal structure of SmHo15Sc4. Source: Alexandria via LeMat-Bulk, functional PBE-GGA.

## Properties
The volume is 29.720 Å³/atom. As for the energy of formation from the pure elements: 0.038 eV/atom. The value obtained for the total moment is 0.00 μB per cell.

Unit cell a=4.921 b=4.921 c=24.544 alpha=90.00 beta=90.00 gamma=90.00
Space group P4/mmm (No. 123)
Inequivalent atoms, fractional coordinates:
Sm (0.000, 0.000, 0.000) (multiplicity 1)
Ho (0.000, 0.500, 0.104) (multiplicity 4)
Ho (0.000, 0.500, 0.302) (multiplicity 4)
Ho (0.000, 0.500, 0.500) (multiplicity 2)
Ho (0.500, 0.500, 0.000) (multiplicity 1)
Ho (0.500, 0.500, 0.204) (multiplicity 2)
Ho (0.500, 0.500, 0.401) (multiplicity 2)
Sc (0.000, 0.000, 0.203) (multiplicity 2)
Sc (0.000, 0.000, 0.401) (multiplicity 2)



An optimized crystal structure of FeHgRu2. Source: Alexandria via LeMat-Bulk, functional PBE-GGA.

## Properties
The volume is 15.637 Å³/atom. As for the energy of formation from the pure elements: 0.513 eV/atom. The value obtained for the total moment is 9.18 μB per cell.

Unit cell a=2.973 b=4.666 c=9.018 alpha=90.00 beta=90.00 gamma=90.00
Space group Cmmm (No. 65)
Inequivalent atoms, fractional coordinates:
Fe (0.000, 0.000, 0.000) (multiplicity 2)
Hg (0.000, 0.000, 0.500) (multiplicity 2)
Ru (0.000, 0.500, 0.222) (multiplicity 4)



An optimized crystal structure of Y2Zn5Sn. Source: Alexandria via LeMat-Bulk, functional PBE-GGA.

## Properties
The volume is 19.908 Å³/atom. As for the energy of formation from the pure elements: -0.432 eV/atom. The value obtained for the total moment is 0.00 μB per cell.

Unit cell a=4.341 b=16.247 c=9.032 alpha=90.00 beta=90.00 gamma=90.00
Space group Cmcm (No. 63)
Inequivalent atoms, fractional coordinates:
Y (0.000, 0.000, 0.000) (multiplicity 4)
Y (0.000, 0.201, 0.250) (multiplicity 4)
Zn (0.000, 0.188, 0.609) (multiplicity 8)
Zn (0.000, 0.345, 0.519) (multiplicity 8)
Zn (0.000, 0.390, 0.250) (multiplicity 4)
Sn (0.000, 0.449, 0.750) (multiplicity 4)



Copy entry 2 word for word.
An optimized crystal structure of PrCd2Ag2. Source: Alexandria via LeMat-Bulk, functional PBE-GGA.

## Properties
The value obtained for the offset from the most stable computed form is 0.00 eV/f.u. The volume is 22.991 Å³/atom. As for the energy of formation from the pure elements: -0.226 eV/atom. The value obtained for the total moment is 0.00 μB per cell.

Unit cell a=5.127 b=5.145 c=5.484 alpha=69.32 beta=89.52 gamma=60.21
Space group P-1 (No. 2)
Inequivalent atoms, fractional coordinates:
Pr (0.000, 0.000, 0.000) (multiplicity 1)
Cd (0.249, 0.505, 0.662) (multiplicity 2)
Ag (0.385, 0.224, 0.240) (multiplicity 2)